Crystalline La2ZnGaFe at its relaxed geometry. Source: Alexandria via LeMat-Bulk, functional GGA-PBE.

Computed properties:
**ΔE_f**: -90 kJ/mol of formula units
**Calculated volume**: 126.2 Å³ per cell

Structure (CIF):
```
data_La2ZnGaFe
_chemical_formula_sum 'La2 Zn1 Ga1 Fe1'
_cell_length_a 5.1842
_cell_length_b 5.1842
_cell_length_c 4.6944
_cell_angle_alpha 90.00
_cell_angle_beta 90.00
_cell_angle_gamma 90.00
_symmetry_space_group_name_H-M 'P 1'
_symmetry_Int_Tables_number 1
loop_
_symmetry_equiv_pos_as_xyz
'x,y,z'
loop_
_atom_site_label
_atom_site_type_symbol
_atom_site_fract_x
_atom_site_fract_y
_atom_site_fract_z
_atom_site_occupancy
La1 La 0.0000 0.5000 0.0000 1
La2 La 0.5000 0.0000 0.0000 1
Zn1 Zn 0.0000 0.0000 0.5000 1
Ga1 Ga 0.5000 0.5000 0.5000 1
Fe1 Fe 0.5000 0.5000 0.0000 1
```

Crystalline InReSi2 at its relaxed geometry. Source: Alexandria via LeMat-Bulk, functional GGA-PBE.

Computed properties:
**Formation energy without anion corrections**: 0.535 eV per atom
**Calculated volume**: 132.1 Å³ per cell

Structure (CIF):
```
data_InReSi2
_chemical_formula_sum 'In2 Re2 Si4'
_cell_length_a 3.3629
_cell_length_b 4.7971
_cell_length_c 8.1886
_cell_angle_alpha 90.00
_cell_angle_beta 90.00
_cell_angle_gamma 90.00
_symmetry_space_group_name_H-M 'P 1'
_symmetry_Int_Tables_number 1
loop_
_symmetry_equiv_pos_as_xyz
'x,y,z'
loop_
_atom_site_label
_atom_site_type_symbol
_atom_site_fract_x
_atom_site_fract_y
_atom_site_fract_z
_atom_site_occupancy
In1 In 0.0000 0.0000 0.0000 1
In2 In 0.5000 0.5000 0.5000 1
Re1 Re 0.0000 0.0000 0.5000 1
Re2 Re 0.5000 0.5000 0.0000 1
Si1 Si 0.0000 0.5000 0.2342 1
Si2 Si 0.0000 0.5000 0.7658 1
Si3 Si 0.5000 0.0000 0.2658 1
Si4 Si 0.5000 0.0000 0.7342 1
```

Crystalline NdScHg at its relaxed geometry. Source: Alexandria via LeMat-Bulk, functional GGA-PBE.

Computed properties:
**ΔE_f**: -96 kJ/mol of formula units
**Energy above the most stable polymorph in this dataset**: 0.000 eV/f.u.
**Calculated volume**: 165.7 Å³ per cell

Structure (CIF):
```
data_NdScHg
_chemical_formula_sum 'Nd2 Sc2 Hg2'
_cell_length_a 4.7218
_cell_length_b 4.7218
_cell_length_c 7.4320
_cell_angle_alpha 90.00
_cell_angle_beta 90.00
_cell_angle_gamma 90.00
_symmetry_space_group_name_H-M 'P 1'
_symmetry_Int_Tables_number 1
loop_
_symmetry_equiv_pos_as_xyz
'x,y,z'
loop_
_atom_site_label
_atom_site_type_symbol
_atom_site_fract_x
_atom_site_fract_y
_atom_site_fract_z
_atom_site_occupancy
Nd1 Nd 0.2500 0.2500 0.1390 1
Nd2 Nd 0.7500 0.7500 0.8610 1
Sc1 Sc 0.2500 0.7500 0.5000 1
Sc2 Sc 0.7500 0.2500 0.5000 1
Hg1 Hg 0.2500 0.2500 0.7310 1
Hg2 Hg 0.7500 0.7500 0.2690 1
```

Crystalline ScZnCu at its relaxed geometry. Source: Alexandria via LeMat-Bulk, functional GGA-PBE.

Computed properties:
**ΔE_f**: -85 kJ/mol of formula units
**Calculated volume**: 192.6 Å³ per cell

Structure (CIF):
```
data_ScZnCu
_chemical_formula_sum 'Sc4 Zn4 Cu4'
_cell_length_a 8.3074
_cell_length_b 5.1681
_cell_length_c 5.1681
_cell_angle_alpha 60.23
_cell_angle_beta 90.00
_cell_angle_gamma 90.00
_symmetry_space_group_name_H-M 'P 1'
_symmetry_Int_Tables_number 1
loop_
_symmetry_equiv_pos_as_xyz
'x,y,z'
loop_
_atom_site_label
_atom_site_type_symbol
_atom_site_fract_x
_atom_site_fract_y
_atom_site_fract_z
_atom_site_occupancy
Sc1 Sc 0.1881 0.0000 0.0000 1
Sc2 Sc 0.3020 0.6676 0.6676 1
Sc3 Sc 0.6980 0.6676 0.6676 1
Sc4 Sc 0.8119 0.0000 0.0000 1
Zn1 Zn 0.0000 0.4953 0.4953 1
Zn2 Zn 0.5000 0.1643 0.1643 1
Zn3 Zn 0.5000 0.1646 0.6697 1
Zn4 Zn 0.5000 0.6697 0.1646 1
Cu1 Cu 0.0000 0.4960 0.9933 1
Cu2 Cu 0.0000 0.9933 0.4960 1
Cu3 Cu 0.2509 0.3319 0.3319 1
Cu4 Cu 0.7491 0.3319 0.3319 1
```

Crystalline Ac2OsO7 at its relaxed geometry. Source: Alexandria via LeMat-Bulk, functional GGA-PBE.

Computed properties:
**Formation energy without anion corrections**: -1.976 eV per atom
**Calculated volume**: 297.5 Å³ per cell

Structure (CIF):
```
data_Ac2OsO7
_chemical_formula_sum 'Ac4 Os2 O14'
_cell_length_a 7.2524
_cell_length_b 7.2524
_cell_length_c 8.9185
_cell_angle_alpha 124.44
_cell_angle_beta 124.44
_cell_angle_gamma 55.57
_symmetry_space_group_name_H-M 'P 1'
_symmetry_Int_Tables_number 1
loop_
_symmetry_equiv_pos_as_xyz
'x,y,z'
loop_
_atom_site_label
_atom_site_type_symbol
_atom_site_fract_x
_atom_site_fract_y
_atom_site_fract_z
_atom_site_occupancy
Ac1 Ac 0.1408 0.2428 0.2905 1
Ac2 Ac 0.2428 0.1408 0.7905 1
Ac3 Ac 0.7572 0.8592 0.2095 1
Ac4 Ac 0.8592 0.7572 0.7095 1
Os1 Os 0.3999 0.6001 0.2500 1
Os2 Os 0.6001 0.3999 0.7500 1
O1 O 0.0731 0.9269 0.2500 1
O2 O 0.1556 0.5247 0.2186 1
O3 O 0.2457 0.5095 0.6378 1
O4 O 0.2518 0.5725 0.9926 1
O5 O 0.4275 0.7482 0.5074 1
O6 O 0.4753 0.8444 0.2814 1
O7 O 0.4905 0.7543 0.8622 1
O8 O 0.5095 0.2457 0.1378 1
O9 O 0.5247 0.1556 0.7186 1
O10 O 0.5725 0.2518 0.4926 1
O11 O 0.7482 0.4275 0.0074 1
O12 O 0.7543 0.4905 0.3622 1
O13 O 0.8444 0.4753 0.7814 1
O14 O 0.9269 0.0731 0.7500 1
```

Crystalline LiInN2 at its relaxed geometry. Source: Alexandria via LeMat-Bulk, functional GGA-PBE.

Computed properties:
**Formation energy without anion corrections**: 0.698 eV per atom
**Calculated volume**: 203.1 Å³ per cell

Structure (CIF):
```
data_LiInN2
_chemical_formula_sum 'Li4 In4 N8'
_cell_length_a 4.1402
_cell_length_b 4.1402
_cell_length_c 11.8508
_cell_angle_alpha 90.00
_cell_angle_beta 90.00
_cell_angle_gamma 90.00
_symmetry_space_group_name_H-M 'P 1'
_symmetry_Int_Tables_number 1
loop_
_symmetry_equiv_pos_as_xyz
'x,y,z'
loop_
_atom_site_label
_atom_site_type_symbol
_atom_site_fract_x
_atom_site_fract_y
_atom_site_fract_z
_atom_site_occupancy
Li1 Li 0.0000 0.0000 0.0000 1
Li2 Li 0.0000 0.5000 0.2500 1
Li3 Li 0.5000 0.0000 0.7500 1
Li4 Li 0.5000 0.5000 0.5000 1
In1 In 0.0000 0.0000 0.5000 1
In2 In 0.0000 0.5000 0.7500 1
In3 In 0.5000 0.0000 0.2500 1
In4 In 0.5000 0.5000 0.0000 1
N1 N 0.2099 0.2500 0.1250 1
N2 N 0.2500 0.7099 0.3750 1
N3 N 0.2500 0.7901 0.8750 1
N4 N 0.2901 0.2500 0.6250 1
N5 N 0.7099 0.7500 0.6250 1
N6 N 0.7500 0.2099 0.8750 1
N7 N 0.7500 0.2901 0.3750 1
N8 N 0.7901 0.7500 0.1250 1
```

Crystalline CuGe2Au2 at its relaxed geometry. Source: Alexandria via LeMat-Bulk, functional GGA-PBE.

Computed properties:
**ΔE_f**: 86 kJ/mol of formula units
**Energy above the most stable polymorph in this dataset**: 0.000 eV/f.u.
**Calculated volume**: 186.2 Å³ per cell

Structure (CIF):
```
data_CuGe2Au2
_chemical_formula_sum 'Cu2 Ge4 Au4'
_cell_length_a 7.1099
_cell_length_b 7.1099
_cell_length_c 3.6837
_cell_angle_alpha 90.00
_cell_angle_beta 90.00
_cell_angle_gamma 90.00
_symmetry_space_group_name_H-M 'P 1'
_symmetry_Int_Tables_number 1
loop_
_symmetry_equiv_pos_as_xyz
'x,y,z'
loop_
_atom_site_label
_atom_site_type_symbol
_atom_site_fract_x
_atom_site_fract_y
_atom_site_fract_z
_atom_site_occupancy
Cu1 Cu 0.0000 0.0000 0.0000 1
Cu2 Cu 0.5000 0.5000 0.0000 1
Ge1 Ge 0.1606 0.3394 0.5000 1
Ge2 Ge 0.3394 0.8394 0.5000 1
Ge3 Ge 0.6606 0.1606 0.5000 1
Ge4 Ge 0.8394 0.6606 0.5000 1
Au1 Au 0.1488 0.6488 0.0000 1
Au2 Au 0.3512 0.1488 0.0000 1
Au3 Au 0.6488 0.8512 0.0000 1
Au4 Au 0.8512 0.3512 0.0000 1
```

Crystalline Ac5Co2Rh at its relaxed geometry. Source: Alexandria via LeMat-Bulk, functional GGA-PBE.

Computed properties:
**ΔE_f**: -108 kJ/mol of formula units
**Calculated volume**: 559.5 Å³ per cell

Structure (CIF):
```
data_Ac5Co2Rh
_chemical_formula_sum 'Ac10 Co4 Rh2'
_cell_length_a 7.2978
_cell_length_b 7.2978
_cell_length_c 14.4700
_cell_angle_alpha 90.00
_cell_angle_beta 90.00
_cell_angle_gamma 133.45
_symmetry_space_group_name_H-M 'P 1'
_symmetry_Int_Tables_number 1
loop_
_symmetry_equiv_pos_as_xyz
'x,y,z'
loop_
_atom_site_label
_atom_site_type_symbol
_atom_site_fract_x
_atom_site_fract_y
_atom_site_fract_z
_atom_site_occupancy
Ac1 Ac 0.0481 0.9519 0.6178 1
Ac2 Ac 0.0481 0.9519 0.8822 1
Ac3 Ac 0.2466 0.7534 0.2500 1
Ac4 Ac 0.3320 0.6680 0.5624 1
Ac5 Ac 0.3320 0.6680 0.9376 1
Ac6 Ac 0.6680 0.3320 0.0624 1
Ac7 Ac 0.6680 0.3320 0.4376 1
Ac8 Ac 0.7534 0.2466 0.7500 1
Ac9 Ac 0.9519 0.0481 0.1178 1
Ac10 Ac 0.9519 0.0481 0.3822 1
Co1 Co 0.1446 0.8554 0.0578 1
Co2 Co 0.1446 0.8554 0.4422 1
Co3 Co 0.8554 0.1446 0.5578 1
Co4 Co 0.8554 0.1446 0.9422 1
Rh1 Rh 0.2112 0.7888 0.7500 1
Rh2 Rh 0.7888 0.2112 0.2500 1
```